# PBE BaMnNi2H8, relaxed
data_BaMnNi2H8
_symmetry_space_group_name_H-M 'R -3'
_symmetry_Int_Tables_number 148
_symmetry_space_group_name_Hall '-R 3'
_cell_length_a 4.5985
_cell_length_b 4.5985
_cell_length_c 18.2001
_cell_angle_alpha 90.00
_cell_angle_beta 90.00
_cell_angle_gamma 120.00
loop_
_atom_site_label
_atom_site_type_symbol
_atom_site_fract_x
_atom_site_fract_y
_atom_site_fract_z
Ba1 Ba 0.0000 0.0000 0.0000
Mn1 Mn 0.0000 0.0000 0.5000
Ni1 Ni 0.0000 0.0000 0.1955
H1 H 0.0000 0.0000 0.2839
H2 H 0.0157 0.7077 0.1261
# DFT total energy in eV for the cell shown: -152.93

---

# PBE TcAsBr2, relaxed
data_TcAsBr2
_symmetry_space_group_name_H-M 'C m m m'
_symmetry_Int_Tables_number 65
_symmetry_space_group_name_Hall '-C 2 2'
_cell_length_a 4.759
_cell_length_b 14.371
_cell_length_c 3.543
_cell_angle_alpha 90.00
_cell_angle_beta 90.00
_cell_angle_gamma 90.00
loop_
_atom_site_label
_atom_site_type_symbol
_atom_site_fract_x
_atom_site_fract_y
_atom_site_fract_z
Tc1 Tc 0.000 0.000 0.000
As1 As 0.000 0.500 0.000
Br1 Br 0.000 0.133 0.500
# DFT total energy in eV for the cell shown: -36.59
# Excess energy over the best structure of this formula in the dataset in kcal/mol of atoms: 1.092
# E_form (uncorrected) in eV/atom: 0.02

---

# PBE CsSBr2, relaxed
data_CsSBr2
_symmetry_space_group_name_H-M 'I -4 2 d'
_symmetry_Int_Tables_number 122
_symmetry_space_group_name_Hall 'I -4 2bw'
_cell_length_a 6.502
_cell_length_b 6.502
_cell_length_c 16.679
_cell_angle_alpha 90.00
_cell_angle_beta 90.00
_cell_angle_gamma 90.00
loop_
_atom_site_label
_atom_site_type_symbol
_atom_site_fract_x
_atom_site_fract_y
_atom_site_fract_z
Cs1 Cs 0.000 0.000 0.000
S1 S 0.000 0.000 0.500
Br1 Br 0.096 0.250 0.625
# DFT total energy in eV for the cell shown: -40.99
# Excess energy over the best structure of this formula in the dataset in kcal/mol of atoms: 9.856
# E_form (uncorrected) in eV/atom: -0.48

---

# PBE As2RhBrN, relaxed
data_As2RhBrN
_symmetry_space_group_name_H-M 'P 4/m m m'
_symmetry_Int_Tables_number 123
_symmetry_space_group_name_Hall '-P 4 2'
_cell_length_a 4.727
_cell_length_b 4.727
_cell_length_c 5.508
_cell_angle_alpha 90.00
_cell_angle_beta 90.00
_cell_angle_gamma 90.00
loop_
_atom_site_label
_atom_site_type_symbol
_atom_site_fract_x
_atom_site_fract_y
_atom_site_fract_z
As1 As 0.000 0.500 0.000
Rh1 Rh 0.000 0.000 0.000
Br1 Br 0.000 0.000 0.500
N1 N 0.500 0.500 0.500
# DFT total energy in eV for the cell shown: -20.17
# Excess energy over the best structure of this formula in the dataset in kcal/mol of atoms: 6.272
# E_form (uncorrected) in eV/atom: 1.30

---

Q: Which formula does entry 4 have?
A: As2RhBrN